VASP calculation (PBE-GGA) on a geometry-optimized KAlOs2 structure.

DFT formation energy in meV/atom: 439
Total magnetic moment in μB/cell: 0.00
DOS(E_F) in states/eV per cell: 3.00
E in eV/atom: -6.386

Lattice parameters (Å, degrees): 2.7509 3.8633 7.9782 90.00 90.24 90.00
Fractional positions:
K 0.0000 0.0000 0.0000
Al 0.4958 0.5000 0.3433
Os 0.4992 0.5000 0.6614
Os 0.9975 0.0000 0.5338